1.
! Dy4BCCl2, relaxed, DFT PBE; values from VASP
&SYSTEM
  ibrav = 0, nat = 8, ntyp = 4
/
ATOMIC_SPECIES
C 12.01 C.upf
Dy 162.50 Dy.upf
B 10.81 B.upf
Cl 35.45 Cl.upf
ATOMIC_POSITIONS crystal
C 0.0000 0.0000 0.0000
Dy 0.5000 0.7735 0.8091
Dy 0.0000 0.2635 0.8045
Dy 0.5000 0.2265 0.1909
Dy 0.0000 0.7365 0.1955
B 0.5000 0.5000 0.0000
Cl 0.5000 0.0000 0.5000
Cl 0.0000 0.5000 0.5000
CELL_PARAMETERS angstrom
-3.0462 -0.2778 -2.1671
-2.6995 -4.0262 4.3107
-1.8415 6.6116 1.7409
! M_tot = 0.0 μB per cell
! Raw formation energy = -1.011 eV/atom

=====

2.
! BeAgSeO4, relaxed, DFT PBE; values from VASP
&SYSTEM
  ibrav = 0, nat = 7, ntyp = 4
/
ATOMIC_SPECIES
Be 9.01 Be.upf
O 16.00 O.upf
Ag 107.87 Ag.upf
Se 78.96 Se.upf
ATOMIC_POSITIONS crystal
Be 0.2500 0.7500 0.5000
O 0.5155 0.6386 0.7416
O 0.2261 0.1030 0.7416
O 0.3614 0.7739 0.2584
O 0.8970 0.4845 0.2584
Ag 0.0000 0.0000 0.0000
Se 0.5000 0.5000 0.0000
CELL_PARAMETERS angstrom
5.1130 0.0000 0.0000
0.0000 5.1130 0.0000
-2.5565 -2.5565 3.6761
! M_tot = 0.8 μB per cell
! Raw formation energy = -0.923 eV/atom

=====

3.
! Ag2HgF2, relaxed, DFT PBE; values from VASP
&SYSTEM
  ibrav = 0, nat = 5, ntyp = 3
/
ATOMIC_SPECIES
Ag 107.87 Ag.upf
Hg 200.59 Hg.upf
F 19.00 F.upf
ATOMIC_POSITIONS crystal
Ag 0.6270 0.6270 0.7460
Ag 0.3730 0.3730 0.2540
Hg 0.0000 0.0000 0.0000
F 0.7500 0.2500 0.5000
F 0.2500 0.7500 0.5000
CELL_PARAMETERS angstrom
3.9325 0.0000 0.0000
0.0000 3.9325 0.0000
1.9663 1.9663 5.4543
! M_tot = 0.0 μB per cell
! Raw formation energy = -0.800 eV/atom
! E above lowest polymorph = 9 meV/atom

=====

4.
! Na4Ho3AlSe8, relaxed, DFT PBE; values from VASP
&SYSTEM
  ibrav = 0, nat = 16, ntyp = 4
/
ATOMIC_SPECIES
Na 22.99 Na.upf
Se 78.96 Se.upf
Al 26.98 Al.upf
Ho 164.93 Ho.upf
ATOMIC_POSITIONS crystal
Na 0.0000 0.0000 0.5000
Na 0.0000 0.0000 0.0000
Na 0.5000 0.0000 0.0000
Na 0.5000 0.0000 0.5000
Se 0.7703 0.2805 0.5406
Se 0.2566 0.2698 0.5132
Se 0.7706 0.2807 0.0100
Se 0.7606 0.7193 0.9900
Se 0.2297 0.7195 0.4594
Se 0.2394 0.2807 0.0100
Se 0.7434 0.7302 0.4868
Se 0.2294 0.7193 0.9900
Al 0.0000 0.5000 0.0000
Ho 0.5000 0.5000 0.0000
Ho 0.5000 0.5000 0.5000
Ho 0.0000 0.5000 0.5000
CELL_PARAMETERS angstrom
-2.1632 -2.0137 -7.5509
-7.8678 -1.4571 2.6425
3.3316 7.2462 1.4670
! M_tot = 0.0 μB per cell
! Raw formation energy = -1.492 eV/atom

=====

5.
! Zr5PdRh4, relaxed, DFT PBE; values from VASP
&SYSTEM
  ibrav = 0, nat = 10, ntyp = 3
/
ATOMIC_SPECIES
Zr 91.22 Zr.upf
Rh 102.91 Rh.upf
Pd 106.42 Pd.upf
ATOMIC_POSITIONS crystal
Zr 0.5000 0.5000 0.6969
Zr 0.5000 0.5000 0.5000
Zr 0.5000 0.5000 0.1056
Zr 0.5000 0.5000 0.3031
Zr 0.5000 0.5000 0.8944
Rh 0.0000 0.0000 0.4023
Rh 0.0000 0.0000 0.5977
Rh 0.0000 0.0000 0.2056
Rh 0.0000 0.0000 0.7944
Pd 0.0000 0.0000 0.0000
CELL_PARAMETERS angstrom
3.2950 0.0000 0.0000
0.0000 3.2950 0.0000
0.0000 0.0000 16.7242
! M_tot = 0.0 μB per cell
! Formation energy = -0.725 eV/atom

=====

6.
! CaDyAu2, relaxed, DFT PBE; values from VASP
&SYSTEM
  ibrav = 0, nat = 4, ntyp = 3
/
ATOMIC_SPECIES
Au 196.97 Au.upf
Ca 40.08 Ca.upf
Dy 162.50 Dy.upf
ATOMIC_POSITIONS crystal
Au 0.0000 0.0000 0.7721
Au 0.0000 0.0000 0.2279
Ca 0.5000 0.5000 0.5000
Dy 0.5000 0.5000 0.0000
CELL_PARAMETERS angstrom
-1.3100 2.6391 2.1123
-1.0512 -2.4711 2.4355
6.4434 0.5366 3.3256
! M_tot = 0.0 μB per cell
! Formation energy = -0.839 eV/atom

=====

7.
! H6PdI12, relaxed, DFT PBE; values from VASP
&SYSTEM
  ibrav = 0, nat = 19, ntyp = 3
/
ATOMIC_SPECIES
I 126.90 I.upf
Pd 106.42 Pd.upf
H 1.01 H.upf
ATOMIC_POSITIONS crystal
I 0.0828 0.3108 0.1195
I 0.5509 0.2153 0.7183
I 0.1195 0.0828 0.3108
I 0.3108 0.1195 0.0828
I 0.7847 0.2817 0.4491
I 0.9172 0.6892 0.8805
I 0.7183 0.5509 0.2153
I 0.6892 0.8805 0.9172
I 0.8805 0.9172 0.6892
I 0.2817 0.4491 0.7847
I 0.4491 0.7847 0.2817
I 0.2153 0.7183 0.5509
Pd 0.0000 0.0000 0.0000
H 0.0782 0.3745 0.6636
H 0.6255 0.3365 0.9218
H 0.9218 0.6255 0.3365
H 0.6636 0.0782 0.3745
H 0.3365 0.9218 0.6255
H 0.3745 0.6636 0.0782
CELL_PARAMETERS angstrom
-2.5457 0.4182 10.3607
-4.1929 -8.5218 -4.8781
10.5144 0.8638 -1.6433
! M_tot = 2.2 μB per cell
! Calculated total energy = -2.2413 eV/atom

=====

8.
! Pm3YSn2, relaxed, DFT PBE; values from VASP
&SYSTEM
  ibrav = 0, nat = 12, ntyp = 3
/
ATOMIC_SPECIES
Y 88.91 Y.upf
Sn 118.71 Sn.upf
Pm 145.00 Pm.upf
ATOMIC_POSITIONS crystal
Y 0.1140 0.2279 0.1073
Y 0.8860 0.7721 0.8927
Sn 0.2475 0.4949 0.7724
Sn 0.7525 0.5051 0.2276
Sn 0.5037 0.0073 0.1531
Sn 0.4963 0.9927 0.8469
Pm 0.9479 0.8958 0.5841
Pm 0.3497 0.6994 0.1801
Pm 0.6503 0.3006 0.8199
Pm 0.0521 0.1042 0.4159
Pm 0.3091 0.6182 0.5089
Pm 0.6909 0.3818 0.4911
CELL_PARAMETERS angstrom
-1.9717 2.4108 -3.3823
-4.7330 -9.2212 -0.6884
-2.4061 7.0491 6.4268
! M_tot = 0.4 μB per cell
! Formation energy = -0.520 eV/atom
! E above lowest polymorph = 66 meV/atom

=====

> Number 7 is which compound?

H6PdI12

=====

> Look up the M_tot of the first one.

0.0 μB per cell

=====

> Which of these has the highest M_tot?

H6PdI12